(1)
Below is an optimized crystal structure of TlBiPb2, with properties calculated at the PBE level.

Computed properties:
Its energy of formation from the pure elements is 3.47 kJ/mol of atoms. For the total magnetization, the calculation gives 0.0 μB/cell. As for the calculated total energy: -54.080 eV for the cell shown. The value obtained for the energy above the most stable polymorph in this dataset is 0.042 eV/atom.

Cell lengths 4.561, 12.747, 9.401 Å; angles 90.00, 90.00, 90.00 degrees
Space group Cmcm (No. 63)
Unique sites:
Tl (0.000, 0.038, 0.250) x4
Bi (0.000, 0.241, 0.750) x4
Pb (0.000, 0.373, 0.052) x8

(2)
Below is an optimized crystal structure of UP2Os, with properties calculated at the PBE level.

Computed properties:
Its energy of formation from the pure elements is -38.87 kJ/mol of atoms. For the total magnetization, the calculation gives 6.2 μB/cell. As for the calculated total energy: -104.848 eV for the cell shown. The value obtained for the energy above the most stable polymorph in this dataset is 0.232 eV/atom.

Cell lengths 3.7244, 3.7244, 17.6668 Å; angles 90.00, 90.00, 120.00 degrees
Space group R3m (No. 160, hexagonal axes)
Unique sites:
U (0.0000, 0.0000, 0.0000) x3
P (0.0000, 0.0000, 0.4316) x3
P (0.0000, 0.0000, 0.5690) x3
Os (0.0000, 0.0000, 0.8186) x3

(3)
Below is an optimized crystal structure of Re2GeCI, with properties calculated at the PBE level.

Computed properties:
For the total magnetization, the calculation gives 0.0 μB/cell. Its uncorrected formation energy is 3.8567 eV per atom. As for the calculated total energy: -21.004 eV for the cell shown.

Cell lengths 4.841, 4.841, 5.370 Å; angles 90.00, 90.00, 90.00 degrees
Space group P4/mmm (No. 123)
Unique sites:
Re (0.000, 0.500, 0.000) x2
Ge (0.000, 0.000, 0.500) x1
C (0.500, 0.500, 0.500) x1
I (0.000, 0.000, 0.000) x1

(4)
Below is an optimized crystal structure of LiNbGe2, with properties calculated at the PBE level.

Computed properties:
Its energy of formation from the pure elements is 0.26 kJ/mol of atoms. For the total magnetization, the calculation gives 0.0 μB/cell. As for the calculated total energy: -84.830 eV for the cell shown. The value obtained for the energy above the most stable polymorph in this dataset is 0.199 eV/atom.

Cell lengths 6.432, 6.432, 6.432 Å; angles 90.00, 90.00, 90.00 degrees
Space group Fm-3m (No. 225)
Unique sites:
Li (0.000, 0.000, 0.000) x4
Nb (0.000, 0.000, 0.500) x4
Ge (0.250, 0.250, 0.250) x8